(1)
TlHg2Te2 (PBE, optimized geometry); polymorph energy (0 for the lowest one) = 0.1308 eV/atom; space group = P4/mbm, No. 127; final energy = -1.8265 eV per atom; total moment = 0.00 Bohr magnetons per cell; uncorrected formation energy = 0.121 eV/f.u.
1.0
8.697 0.000 0.000
0.000 8.697 0.000
0.000 0.000 4.003
Tl Hg Te
2 4 4
Cartesian
0.000 0.000 0.000
4.348 4.348 0.000
1.300 3.048 2.002
3.048 7.396 2.002
5.648 1.300 2.002
7.396 5.648 2.002
1.346 5.695 0.000
3.002 1.346 0.000
5.695 7.350 0.000
7.350 3.002 0.000



(2)
Tl2HgTe (PBE, optimized geometry); polymorph energy (0 for the lowest one) = 0.0116 eV/atom; space group = Fm-3m, No. 225; final energy = -2.2461 eV per atom; total moment = 0.00 Bohr magnetons per cell; uncorrected formation energy = -0.809 eV/f.u.
1.0
8.085 0.000 0.000
0.000 8.085 0.000
0.000 0.000 8.085
Tl Hg Te
8 4 4
Cartesian
2.021 2.021 2.021
2.021 2.021 6.064
2.021 6.064 2.021
2.021 6.064 6.064
6.064 2.021 2.021
6.064 2.021 6.064
6.064 6.064 2.021
6.064 6.064 6.064
0.000 0.000 0.000
0.000 4.043 4.043
4.043 0.000 4.043
4.043 4.043 0.000
0.000 0.000 4.043
0.000 4.043 0.000
4.043 0.000 0.000
4.043 4.043 4.043